(1)
Nd2Sm2Pt3 | PBE | relaxed

a = 4.2414 Å, b = 7.1016 Å, c = 7.3428 Å
α = 99.84°, β = 89.98°, γ = 107.40°
Positions (direct):
Pt  0.7595  0.5192  0.2562
Pt  0.0000  0.0000  0.0000
Pt  0.2405  0.4808  0.7438
Sm  0.6290  0.2577  0.8999
Sm  0.3710  0.7423  0.1001
Nd  0.1349  0.2706  0.3601
Nd  0.8651  0.7294  0.6399

Computed properties:
Crystal system   triclinic
Energy of formation from the pure elements   -0.94 eV/atom
Distance to the lowest polymorph of the same formula   50.5 meV per atom


(2)
Nd3SmPt3 | PBE | relaxed

a = 7.1779 Å, b = 7.1779 Å, c = 7.3092 Å
α = 90.56°, β = 90.56°, γ = 97.45°
Positions (direct):
Nd  0.7521  0.2479  0.0000
Nd  0.2479  0.7521  0.0000
Nd  0.1770  0.8230  0.5000
Nd  0.6650  0.6650  0.3761
Nd  0.3350  0.3350  0.6239
Nd  0.8230  0.1770  0.5000
Pt  0.5042  0.9794  0.7176
Pt  0.0206  0.4958  0.2824
Pt  0.9794  0.5042  0.7176
Pt  0.4958  0.0206  0.2824
Pt  0.0604  0.0604  0.8081
Pt  0.9396  0.9396  0.1919
Sm  0.7443  0.7443  0.8798
Sm  0.2557  0.2557  0.1202

Computed properties:
Crystal system   monoclinic
Energy of formation from the pure elements   -0.90 eV/atom


(3)
NdSmPt | PBE | relaxed

a = 3.6004 Å, b = 7.3049 Å, c = 6.9309 Å
α = 105.20°, β = 105.05°, γ = 89.95°
Positions (direct):
Sm  0.3062  0.9847  0.3790
Sm  0.5717  0.1192  0.9098
Nd  0.5681  0.6160  0.9035
Nd  0.3097  0.4879  0.3854
Pt  0.9385  0.2875  0.6438
Pt  0.9393  0.8164  0.6450

Computed properties:
Crystal system   triclinic
Energy of formation from the pure elements   -0.69 eV/atom
Distance to the lowest polymorph of the same formula   130.4 meV per atom


(4)
Nd2SmPt | PBE | relaxed

a = 3.6871 Å, b = 3.6871 Å, c = 8.6731 Å
α = 90.00°, β = 90.00°, γ = 90.00°
Positions (direct):
Pt  0.5000  0.5000  0.0000
Sm  0.5000  0.5000  0.5000
Nd  0.0000  0.0000  0.8047
Nd  0.0000  0.0000  0.1953

Computed properties:
Crystal system   tetragonal
Energy of formation from the pure elements   -0.48 eV/atom
Distance to the lowest polymorph of the same formula   151.7 meV per atom


(5)
NdSmPt | PBE | relaxed

a = 7.0697 Å, b = 6.4294 Å, c = 6.4294 Å
α = 144.35°, β = 90.00°, γ = 90.00°
Positions (direct):
Pt  0.7500  0.6160  0.3840
Pt  0.2500  0.3840  0.6160
Nd  0.0000  0.0000  0.0000
Nd  0.5000  0.0000  0.0000
Sm  0.2500  0.7142  0.2858
Sm  0.7500  0.2858  0.7142

Computed properties:
Crystal system   orthorhombic
Energy of formation from the pure elements   -0.78 eV/atom
Distance to the lowest polymorph of the same formula   42.9 meV per atom


(6)
NdSmTePt | PBE | relaxed

a = 4.2443 Å, b = 4.2443 Å, c = 7.9144 Å
α = 74.45°, β = 74.45°, γ = 60.00°
Positions (direct):
Sm  0.2621  0.2621  0.2138
Nd  0.7380  0.7380  0.7859
Pt  0.9989  0.9989  0.0033
Te  0.5010  0.5010  0.4970

Computed properties:
Crystal system   trigonal
Electronic total energy   -5.929 eV per atom


(7)
NdSmTh2Pt4 | PBE | relaxed

a = 5.9113 Å, b = 5.9112 Å, c = 7.2662 Å
α = 114.01°, β = 114.01°, γ = 89.99°
Positions (direct):
Th  0.1868  0.6868  0.5000
Th  0.6868  0.1868  0.5000
Pt  0.4382  0.9368  0.0000
Pt  0.9368  0.4382  0.0000
Pt  0.1882  0.1882  0.5029
Pt  0.6852  0.6852  0.4971
Nd  0.9384  0.9384  0.0000
Sm  0.4369  0.4369  0.0000

Computed properties:
Crystal system   orthorhombic
Energy of formation from the pure elements   -1.19 eV/atom


(8)
NdSmTlPt | PBE | relaxed

a = 5.2894 Å, b = 5.2894 Å, c = 5.2894 Å
α = 60.00°, β = 60.00°, γ = 60.00°
Positions (direct):
Tl  0.0000  0.0000  0.0000
Nd  0.7500  0.7500  0.7500
Sm  0.2500  0.2500  0.2500
Pt  0.5000  0.5000  0.5000

Computed properties:
Crystal system   cubic
Energy of formation from the pure elements   -0.61 eV/atom


(9)
Nd8SnPt2 | PBE | relaxed

a = 5.6576 Å, b = 8.2507 Å, c = 8.2507 Å
α = 114.54°, β = 97.65°, γ = 97.65°
Positions (direct):
Pt  0.4999  0.3083  0.6977
Pt  0.4999  0.6977  0.3083
Sn  0.0008  0.0032  0.0032
Nd  0.4258  0.6794  0.9257
Nd  0.9999  0.7573  0.2488
Nd  0.8074  0.6123  0.6123
Nd  0.1925  0.3940  0.3940
Nd  0.4258  0.9257  0.6794
Nd  0.9999  0.2488  0.7573
Nd  0.5739  0.0804  0.3266
Nd  0.5739  0.3266  0.0804

Computed properties:
Crystal system   monoclinic
Energy of formation from the pure elements   -0.49 eV/atom


(10)
Nd5Sn2Pt | PBE | relaxed

a = 4.7228 Å, b = 8.1685 Å, c = 12.6793 Å
α = 90.00°, β = 90.00°, γ = 90.00°
Positions (direct):
Nd  0.0000  0.3516  0.2897
Nd  0.5000  0.3140  0.5657
Nd  0.5000  0.8140  0.9343
Nd  0.0000  0.8516  0.2103
Nd  0.5000  0.1860  0.0657
Nd  0.0000  0.1484  0.7897
Nd  0.5000  0.6860  0.4343
Nd  0.0000  0.0000  0.5000
Nd  0.0000  0.5000  0.0000
Nd  0.0000  0.6484  0.7103
Pt  0.0000  0.5000  0.5000
Pt  0.0000  0.0000  0.0000
Sn  0.5000  0.4269  0.8291
Sn  0.5000  0.5731  0.1709
Sn  0.5000  0.9269  0.6709
Sn  0.5000  0.0731  0.3291

Computed properties:
Crystal system   orthorhombic
Energy of formation from the pure elements   -0.76 eV/atom


(11)
Nd2SnPt3 | PBE | relaxed

a = 4.5527 Å, b = 4.5527 Å, c = 15.6594 Å
α = 90.00°, β = 90.00°, γ = 120.00°
Positions (direct):
Nd  0.0000  0.0000  0.3794
Nd  0.0000  0.0000  0.8794
Nd  0.0000  0.0000  0.6206
Nd  0.0000  0.0000  0.1206
Pt  0.6667  0.3333  0.5012
Pt  0.6667  0.3333  0.2500
Pt  0.6667  0.3333  0.9988
Pt  0.3333  0.6667  0.0012
Pt  0.3333  0.6667  0.7500
Pt  0.3333  0.6667  0.4988
Sn  0.3333  0.6667  0.2500
Sn  0.6667  0.3333  0.7500

Computed properties:
Crystal system   hexagonal
Energy of formation from the pure elements   -0.94 eV/atom


(12)
NdSnPt5 | PBE | relaxed

a = 5.4941 Å, b = 8.8546 Å, c = 10.8953 Å
α = 90.00°, β = 90.00°, γ = 90.00°
Positions (direct):
Pt  0.7500  0.4065  0.9827
Pt  0.2500  0.9409  0.0786
Pt  0.4932  0.0631  0.7015
Pt  0.7500  0.5591  0.5786
Pt  0.2500  0.1858  0.2380
Pt  0.2500  0.5935  0.0173
Pt  0.2500  0.6858  0.2620
Pt  0.2500  0.0935  0.4827
Pt  0.7500  0.8142  0.7620
Pt  0.7500  0.0591  0.9214
Pt  0.4932  0.5631  0.7985
Pt  0.0068  0.5631  0.7985
Pt  0.5068  0.9369  0.2985
Pt  0.7500  0.3142  0.7380
Pt  0.9932  0.9369  0.2985
Pt  0.2500  0.4409  0.4214
Pt  0.7500  0.9065  0.5173
Pt  0.9932  0.4369  0.2015
Pt  0.5068  0.4369  0.2015
Pt  0.0068  0.0631  0.7015
Nd  0.2500  0.7504  0.5526
Nd  0.7500  0.2496  0.4474
Nd  0.2500  0.2504  0.9474
Nd  0.7500  0.7496  0.0526
Sn  0.7500  0.6526  0.3516
Sn  0.2500  0.3474  0.6484
Sn  0.2500  0.8474  0.8516
Sn  0.7500  0.1526  0.1484

Computed properties:
Crystal system   orthorhombic
Energy of formation from the pure elements   -0.67 eV/atom


(13)
Nd2Sn3Pt | PBE | relaxed

a = 4.1531 Å, b = 4.8286 Å, c = 7.9793 Å
α = 90.00°, β = 90.00°, γ = 90.00°
Positions (direct):
Sn  0.5000  0.0000  0.8327
Sn  0.5000  0.0000  0.1855
Sn  0.5000  0.5000  0.6489
Pt  0.5000  0.5000  0.3189
Nd  0.0000  0.5000  0.0148
Nd  0.0000  0.0000  0.4993

Computed properties:
Crystal system   orthorhombic
Energy of formation from the pure elements   -0.71 eV/atom
Distance to the lowest polymorph of the same formula   71.7 meV per atom


(14)
Nd8Sn2Pt | PBE | relaxed

a = 5.1037 Å, b = 6.9875 Å, c = 10.2831 Å
α = 104.43°, β = 104.37°, γ = 90.00°
Positions (direct):
Nd  0.6484  0.9987  0.2969
Nd  0.2169  0.3208  0.4337
Nd  0.3516  0.0013  0.7031
Nd  0.4077  0.5317  0.8155
Nd  0.9827  0.2174  0.9654
Nd  0.5923  0.4683  0.1845
Nd  0.0173  0.7826  0.0346
Nd  0.7831  0.6792  0.5663
Sn  0.1811  0.7539  0.3621
Sn  0.8189  0.2461  0.6379
Pt  0.5000  0.0000  0.0000

Computed properties:
Crystal system   monoclinic
Energy of formation from the pure elements   -0.50 eV/atom


(15)
Nd2Sn3Pt | PBE | relaxed

a = 4.6863 Å, b = 6.1942 Å, c = 6.2890 Å
α = 73.24°, β = 68.13°, γ = 67.77°
Positions (direct):
Sn  0.8149  0.2473  0.1230
Sn  0.1542  0.7689  0.9226
Sn  0.8730  0.5996  0.6544
Nd  0.4301  0.8218  0.3179
Nd  0.5583  0.1827  0.7008
Pt  0.1694  0.3797  0.2814

Computed properties:
Crystal system   monoclinic
Energy of formation from the pure elements   -0.78 eV/atom
Distance to the lowest polymorph of the same formula   0.0 meV per atom


(16)
NdSnPt | PBE | relaxed

a = 4.6562 Å, b = 7.4698 Å, c = 8.0988 Å
α = 90.00°, β = 90.00°, γ = 90.00°
Positions (direct):
Sn  0.7500  0.8235  0.9166
Sn  0.2500  0.1765  0.0834
Sn  0.7500  0.3235  0.5834
Sn  0.2500  0.6765  0.4166
Nd  0.2500  0.5132  0.8054
Nd  0.2500  0.0132  0.6946
Nd  0.7500  0.4868  0.1946
Nd  0.7500  0.9868  0.3054
Pt  0.2500  0.2893  0.4084
Pt  0.2500  0.7893  0.0916
Pt  0.7500  0.2107  0.9084
Pt  0.7500  0.7107  0.5916

Computed properties:
Crystal system   orthorhombic
Energy of formation from the pure elements   -1.05 eV/atom


(17)
NdSn6Pt | PBE | relaxed

a = 7.0510 Å, b = 6.4159 Å, c = 6.3554 Å
α = 59.68°, β = 74.58°, γ = 58.20°
Positions (direct):
Sn  0.2526  0.8459  0.5366
Sn  0.7245  0.7251  0.0000
Sn  0.2755  0.2749  0.0000
Sn  0.2526  0.3825  0.4634
Sn  0.7474  0.6175  0.5366
Sn  0.7474  0.1541  0.4634
Nd  0.0000  0.0000  0.0000
Pt  0.5000  0.5000  0.0000

Computed properties:
Crystal system   monoclinic
Energy of formation from the pure elements   -0.29 eV/atom


(18)
Nd3Sn3Pt | PBE | relaxed

a = 4.6293 Å, b = 6.1879 Å, c = 14.6266 Å
α = 84.75°, β = 80.89°, γ = 68.03°
Positions (direct):
Nd  0.5244  0.3315  0.6198
Nd  0.5980  0.7264  0.0775
Nd  0.4020  0.2736  0.9225
Nd  0.2577  0.2483  0.2363
Nd  0.4756  0.6685  0.3802
Nd  0.7423  0.7517  0.7637
Pt  0.2468  0.8903  0.6160
Pt  0.7532  0.1097  0.3840
Sn  0.8739  0.1762  0.0761
Sn  0.8529  0.7602  0.5341
Sn  0.0283  0.1776  0.7658
Sn  0.9717  0.8224  0.2342
Sn  0.1471  0.2398  0.4659
Sn  0.1261  0.8238  0.9239

Computed properties:
Crystal system   monoclinic
Energy of formation from the pure elements   -0.88 eV/atom


(19)
Nd4SnPt | PBE | relaxed

a = 6.3130 Å, b = 6.9796 Å, c = 8.9352 Å
α = 90.00°, β = 110.55°, γ = 90.00°
Positions (direct):
Sn  0.7762  0.7500  0.9454
Sn  0.2238  0.2500  0.0546
Pt  0.7550  0.7500  0.4378
Pt  0.2450  0.2500  0.5622
Nd  0.6040  0.2500  0.8812
Nd  0.0127  0.9979  0.7218
Nd  0.9873  0.4979  0.2782
Nd  0.5775  0.2500  0.4136
Nd  0.3960  0.7500  0.1188
Nd  0.0127  0.5021  0.7218
Nd  0.4225  0.7500  0.5864
Nd  0.9873  0.0021  0.2782

Computed properties:
Crystal system   monoclinic
Energy of formation from the pure elements   -0.65 eV/atom
Distance to the lowest polymorph of the same formula   0.0 meV per atom


(20)
NdSn12Pt4 | PBE | relaxed

a = 8.2403 Å, b = 8.2402 Å, c = 8.2402 Å
α = 109.47°, β = 109.47°, γ = 109.47°
Positions (direct):
Pt  0.5000  0.5000  0.5000
Pt  0.5000  0.0000  0.0000
Pt  0.0000  0.0000  0.5000
Pt  0.0000  0.5000  0.0000
Sn  0.5012  0.1580  0.3432
Sn  0.8420  0.6568  0.4988
Sn  0.1852  0.8420  0.3432
Sn  0.3432  0.5012  0.1580
Sn  0.8148  0.1580  0.6568
Sn  0.8420  0.3432  0.1852
Sn  0.6568  0.4988  0.8420
Sn  0.6568  0.8148  0.1580
Sn  0.4988  0.8420  0.6568
Sn  0.1580  0.3432  0.5012
Sn  0.1580  0.6568  0.8148
Sn  0.3432  0.1852  0.8420
Nd  0.0000  0.0000  0.0000

Computed properties:
Crystal system   cubic
Energy of formation from the pure elements   -0.41 eV/atom